Here is a relaxed Ca2AcPmS4 crystal from Alexandria. Energies are from PBE-GGA. Values from VASP.

Properties
Uncorrected formation energy ... -196 kJ per mole of atoms
Theoretical density ... 4.91 g/cm³
Calculated volume ... 196.40 Å³/cell
Crystal system ... monoclinic

```
&SYSTEM
  ibrav = 0, nat = 8, ntyp = 4
/
ATOMIC_SPECIES
Ca 40.08 Ca.upf
S 32.06 S.upf
Ac 227.00 Ac.upf
Pm 145.00 Pm.upf
CELL_PARAMETERS angstrom
-2.208 1.346 3.165
-5.746 0.267 -4.122
0.410 -6.495 3.050
ATOMIC_POSITIONS crystal
Ca 0.500 0.000 0.500
S 0.500 0.245 0.258
S 0.500 0.755 0.742
Ca 0.000 0.500 0.500
S 0.000 0.236 0.735
S 0.000 0.764 0.265
Ac 0.500 0.500 0.000
Pm 0.000 0.000 0.000
```

Here is a relaxed CaAc2PmSb4 crystal from Alexandria. Energies are from PBE-GGA. Values from VASP.

Properties
Uncorrected formation energy ... -103 kJ per mole of atoms
Theoretical density ... 6.52 g/cm³
Calculated volume ... 286.91 Å³/cell
Crystal system ... monoclinic

```
&SYSTEM
  ibrav = 0, nat = 8, ntyp = 4
/
ATOMIC_SPECIES
Pm 145.00 Pm.upf
Ac 227.00 Ac.upf
Sb 121.76 Sb.upf
Ca 40.08 Ca.upf
CELL_PARAMETERS angstrom
-0.973 4.165 1.936
-4.935 -3.555 5.168
4.096 -2.156 6.696
ATOMIC_POSITIONS crystal
Pm 0.000 0.500 0.500
Ac 0.500 0.000 0.500
Sb 0.500 0.734 0.258
Ca 0.500 0.500 0.000
Ac 0.000 0.000 0.000
Sb 0.000 0.735 0.753
Sb 0.000 0.265 0.247
Sb 0.500 0.266 0.742
```

Here is a relaxed CaAcPmSc crystal from Alexandria. Energies are from PBE-GGA. Values from VASP.

Properties
E_form ... 0.5 eV/f.u.
Theoretical density ... 5.38 g/cm³
Calculated volume ... 140.96 Å³/cell
Crystal system ... cubic

```
&SYSTEM
  ibrav = 0, nat = 4, ntyp = 4
/
ATOMIC_SPECIES
Ac 227.00 Ac.upf
Pm 145.00 Pm.upf
Ca 40.08 Ca.upf
Sc 44.96 Sc.upf
CELL_PARAMETERS angstrom
5.842 0.000 0.000
2.921 5.059 0.000
2.921 1.686 4.770
ATOMIC_POSITIONS crystal
Ac 0.750 0.750 0.750
Pm 0.250 0.250 0.250
Ca 0.500 0.500 0.500
Sc 0.000 0.000 0.000
```

Here is a relaxed Ca3Ac2PmSe6 crystal from Alexandria. Energies are from PBE-GGA. Values from VASP.

Properties
Uncorrected formation energy ... -183 kJ per mole of atoms
Theoretical density ... 5.88 g/cm³
Calculated volume ... 337.14 Å³/cell
Crystal system ... monoclinic

```
&SYSTEM
  ibrav = 0, nat = 12, ntyp = 4
/
ATOMIC_SPECIES
Se 78.96 Se.upf
Ac 227.00 Ac.upf
Ca 40.08 Ca.upf
Pm 145.00 Pm.upf
CELL_PARAMETERS angstrom
4.271 0.000 0.000
0.000 8.649 0.224
-2.136 -2.583 9.059
ATOMIC_POSITIONS crystal
Se 0.333 0.933 0.666
Ac 0.164 0.327 0.327
Ca 0.167 0.834 0.334
Pm 0.500 0.000 0.000
Ca 0.833 0.166 0.666
Se 0.663 0.593 0.326
Se 0.006 0.751 0.011
Se 0.667 0.067 0.334
Se 0.337 0.407 0.674
Ca 0.500 0.500 0.000
Se 0.994 0.249 0.989
Ac 0.836 0.673 0.673
```

Here is a relaxed Ca3AcPm2Se6 crystal from Alexandria. Energies are from PBE-GGA. Values from VASP.

Properties
Uncorrected formation energy ... -183 kJ per mole of atoms
Theoretical density ... 5.66 g/cm³
Calculated volume ... 325.74 Å³/cell
Crystal system ... monoclinic

```
&SYSTEM
  ibrav = 0, nat = 12, ntyp = 4
/
ATOMIC_SPECIES
Pm 145.00 Pm.upf
Se 78.96 Se.upf
Ac 227.00 Ac.upf
Ca 40.08 Ca.upf
CELL_PARAMETERS angstrom
7.315 0.003 -0.001
-3.653 6.337 -0.001
-1.223 -2.117 7.026
ATOMIC_POSITIONS crystal
Pm 0.666 0.334 0.000
Se 0.571 0.914 0.741
Pm 0.334 0.666 0.000
Se 0.256 0.256 0.741
Ac 0.000 0.000 0.000
Ca 0.835 0.165 0.500
Se 0.914 0.571 0.741
Se 0.429 0.086 0.259
Ca 0.500 0.500 0.500
Ca 0.165 0.835 0.500
Se 0.086 0.429 0.259
Se 0.744 0.744 0.259
```

Here is a relaxed CaAcPm2Se4 crystal from Alexandria. Energies are from PBE-GGA. Values from VASP.

Properties
Uncorrected formation energy ... -180 kJ per mole of atoms
Theoretical density ... 6.57 g/cm³
Calculated volume ... 220.64 Å³/cell
Crystal system ... monoclinic

```
&SYSTEM
  ibrav = 0, nat = 8, ntyp = 4
/
ATOMIC_SPECIES
Se 78.96 Se.upf
Pm 145.00 Pm.upf
Ca 40.08 Ca.upf
Ac 227.00 Ac.upf
CELL_PARAMETERS angstrom
-3.620 0.927 -2.013
0.059 -6.701 -3.194
-3.637 -4.779 4.338
ATOMIC_POSITIONS crystal
Se 0.500 0.247 0.742
Pm 0.000 0.000 0.000
Pm 0.500 0.000 0.500
Se 0.000 0.241 0.264
Se 0.000 0.759 0.736
Ca 0.000 0.500 0.500
Ac 0.500 0.500 0.000
Se 0.500 0.753 0.258
```